The following is a DFT calculation (PBE) of a relaxed K4Au2Cl crystal.

Results
The calculation puts the uncorrected formation energy at -664 meV per atom. As for the energy relative to the lowest polymorph listed for this composition: 0.000 eV/atom. For the total energy, the calculation gives -17.44 eV per cell.

Cell: 8.9831 8.9831 8.9831 Å, 140.07 140.07 57.75°
Fractional positions:
K 0.0000 0.5000 0.5000
K 0.1968 0.1968 0.0000
K 0.5000 0.0000 0.5000
K 0.8032 0.8032 0.0000
Au 0.4068 0.4068 0.0000
Au 0.5932 0.5932 0.0000
Cl 0.0000 0.0000 0.0000